# 1
A geometry-optimized Na5NbO5 structure, computed with GGA-PBEsol.

Properties
uncorrected formation energy: -21.01 eV per formula unit

Structure (CIF):
```
data_Na5NbO5
_chemical_formula_sum 'Na20 Nb4 O20'
_space_group_name_H-M_alt 'C 1 2/c 1'
_space_group_IT_number 15
_cell_length_a 6.2976
_cell_length_b 10.2129
_cell_length_c 10.0458
_cell_angle_alpha 90.00
_cell_angle_beta 106.76
_cell_angle_gamma 90.00
loop_
_space_group_symop_operation_xyz
'x,y,z'
'-x,-y,-z'
'-x,y,-z+1/2'
'x,-y,z+1/2'
'x+1/2,y+1/2,z'
'-x+1/2,-y+1/2,-z'
'-x+1/2,y+1/2,-z+1/2'
'x+1/2,-y+1/2,z+1/2'
loop_
_atom_site_label
_atom_site_type_symbol
_atom_site_fract_x
_atom_site_fract_y
_atom_site_fract_z
Na1 Na 0.0000 0.1676 0.2500
Na2 Na 0.1648 0.3422 0.0780
Na3 Na 0.1706 0.1147 0.5504
Nb1 Nb 0.0000 0.4083 0.7500
O1 O 0.0000 0.4048 0.2500
O2 O 0.1333 0.3298 0.6177
O3 O 0.2021 0.1078 0.1038
```

=====

# 2
A geometry-optimized CaP2Cl structure, computed with GGA-PBEsol.

Properties
uncorrected formation energy: -1.14 eV per formula unit
excess energy over the best structure of this formula in the dataset: 410 meV per atom

Structure (CIF):
```
data_CaP2Cl
_chemical_formula_sum 'Ca4 P8 Cl4'
_space_group_name_H-M_alt 'F -4 3 m'
_space_group_IT_number 216
_space_group_name_Hall 'F -4 2 3'
_cell_length_a 6.7682
_cell_length_b 6.7682
_cell_length_c 6.7682
_cell_angle_alpha 90.00
_cell_angle_beta 90.00
_cell_angle_gamma 90.00
loop_
_atom_site_label
_atom_site_type_symbol
_atom_site_fract_x
_atom_site_fract_y
_atom_site_fract_z
Ca1 Ca 0.0000 0.0000 0.0000
P1 P 0.0000 0.0000 0.5000
P2 P 0.2500 0.2500 0.2500
Cl1 Cl 0.2500 0.2500 0.7500
```

=====

# 3
A geometry-optimized ZnSbS2O structure, computed with GGA-PBEsol.

Properties
uncorrected formation energy: 2.06 eV per formula unit

Structure (CIF):
```
data_ZnSbS2O
_chemical_formula_sum 'Zn1 Sb1 S2 O1'
_space_group_name_H-M_alt 'P 4/m m m'
_space_group_IT_number 123
_space_group_name_Hall '-P 4 2'
_cell_length_a 4.3048
_cell_length_b 4.3048
_cell_length_c 4.5604
_cell_angle_alpha 90.00
_cell_angle_beta 90.00
_cell_angle_gamma 90.00
loop_
_atom_site_label
_atom_site_type_symbol
_atom_site_fract_x
_atom_site_fract_y
_atom_site_fract_z
Zn1 Zn 0.0000 0.0000 0.0000
Sb1 Sb 0.5000 0.5000 0.0000
S1 S 0.0000 0.5000 0.5000
O1 O 0.5000 0.5000 0.5000
```

=====

# 4
A geometry-optimized BaHfW3 structure, computed with GGA-PBEsol.

Properties
energy relative to the elements: 218 kJ per mole of atoms

Structure (CIF):
```
data_BaHfW3
_chemical_formula_sum 'Ba1 Hf1 W3'
_space_group_name_H-M_alt 'P m -3 m'
_space_group_IT_number 221
_space_group_name_Hall '-P 4 2 3'
_cell_length_a 4.9473
_cell_length_b 4.9473
_cell_length_c 4.9473
_cell_angle_alpha 90.00
_cell_angle_beta 90.00
_cell_angle_gamma 90.00
loop_
_atom_site_label
_atom_site_type_symbol
_atom_site_fract_x
_atom_site_fract_y
_atom_site_fract_z
Ba1 Ba 0.0000 0.0000 0.0000
Hf1 Hf 0.5000 0.5000 0.5000
W1 W 0.0000 0.5000 0.5000
```

=====

# 5
A geometry-optimized Pr2CdAu2 structure, computed with GGA-PBEsol.

Properties
energy relative to the elements: -67 kJ per mole of atoms

Structure (CIF):
```
data_Pr2CdAu2
_chemical_formula_sum 'Pr4 Cd2 Au4'
_space_group_name_H-M_alt 'P 4/m b m'
_space_group_IT_number 127
_space_group_name_Hall '-P 4 2ab'
_cell_length_a 7.9945
_cell_length_b 7.9945
_cell_length_c 3.8743
_cell_angle_alpha 90.00
_cell_angle_beta 90.00
_cell_angle_gamma 90.00
loop_
_atom_site_label
_atom_site_type_symbol
_atom_site_fract_x
_atom_site_fract_y
_atom_site_fract_z
Pr1 Pr 0.1726 0.3274 0.0000
Cd1 Cd 0.0000 0.0000 0.5000
Au1 Au 0.1274 0.6274 0.5000
```

=====

# 6
A geometry-optimized CaAlSi2As structure, computed with GGA-PBEsol.

Properties
uncorrected formation energy: 6.29 eV per formula unit

Structure (CIF):
```
data_CaAlSi2As
_chemical_formula_sum 'Ca1 Al1 Si2 As1'
_space_group_name_H-M_alt 'P 4/m m m'
_space_group_IT_number 123
_space_group_name_Hall '-P 4 2'
_cell_length_a 5.1771
_cell_length_b 5.1771
_cell_length_c 5.1701
_cell_angle_alpha 90.00
_cell_angle_beta 90.00
_cell_angle_gamma 90.00
loop_
_atom_site_label
_atom_site_type_symbol
_atom_site_fract_x
_atom_site_fract_y
_atom_site_fract_z
Ca1 Ca 0.0000 0.0000 0.0000
Al1 Al 0.5000 0.5000 0.5000
Si1 Si 0.0000 0.5000 0.0000
As1 As 0.0000 0.0000 0.5000
```

=====

no.,magnetic moment (μB/cell)
1,0.00
2,0.00
3,0.00
4,0.00
5,0.00
6,0.00